Arrangement w

# Sc2HRh | the Alexandria database | PBE | optimized geometry
data_Sc2HRh
_chemical_formula_sum 'Sc8 H4 Rh4'
_cell_length_a 6.310
_cell_length_b 6.310
_cell_length_c 6.310
_cell_angle_alpha 90.00
_cell_angle_beta 90.00
_cell_angle_gamma 90.00
_symmetry_space_group_name_H-M 'F m -3 m'
_symmetry_Int_Tables_number 225
_symmetry_space_group_name_Hall '-F 4 2 3'
loop_
_atom_site_label
_atom_site_fract_x
_atom_site_fract_y
_atom_site_fract_z
_atom_site_occupancy
Sc1 0.250 0.250 0.250 1
H1 0.000 0.000 0.000 1
Rh1 0.000 0.000 0.500 1
# M_tot	0.00	Bohr magnetons per cell
# calculated volume	251.2	Å³/cell

***

Arrangement x

# Sc2HRh | the Alexandria database | PBE | optimized geometry
data_Sc2HRh
_chemical_formula_sum 'Sc6 H3 Rh3'
_cell_length_a 3.0778
_cell_length_b 3.0778
_cell_length_c 22.2879
_cell_angle_alpha 90.00
_cell_angle_beta 90.00
_cell_angle_gamma 120.00
_symmetry_space_group_name_H-M 'R -3 m'
_symmetry_Int_Tables_number 166
_symmetry_space_group_name_Hall '-R 3 2"'
loop_
_atom_site_label
_atom_site_fract_x
_atom_site_fract_y
_atom_site_fract_z
_atom_site_occupancy
Sc1 0.0000 0.0000 0.1079 1
H1 0.0000 0.0000 0.5000 1
Rh1 0.0000 0.0000 0.0000 1
# M_tot	0.00	Bohr magnetons per cell
# calculated volume	182.8	Å³/cell

***

Arrangement y

# Sc2HRh | the Alexandria database | PBE | optimized geometry
data_Sc2HRh
_chemical_formula_sum 'Sc8 H4 Rh4'
_cell_length_a 13.147
_cell_length_b 3.250
_cell_length_c 6.292
_cell_angle_alpha 90.00
_cell_angle_beta 111.11
_cell_angle_gamma 90.00
_symmetry_space_group_name_H-M 'C 1 2/m 1'
_symmetry_Int_Tables_number 12
loop_
_symmetry_equiv_pos_as_xyz
'x,y,z'
'-x,-y,-z'
'-x,y,-z'
'x,-y,z'
'x+1/2,y+1/2,z'
'-x+1/2,-y+1/2,-z'
'-x+1/2,y+1/2,-z'
'x+1/2,-y+1/2,z'
loop_
_atom_site_label
_atom_site_fract_x
_atom_site_fract_y
_atom_site_fract_z
_atom_site_occupancy
Sc1 0.015 0.000 0.266 1
Sc2 0.205 0.500 0.730 1
H1 0.107 0.000 0.598 1
Rh1 0.123 0.500 0.076 1
# M_tot	0.00	Bohr magnetons per cell
# calculated volume	250.8	Å³/cell

***

Short version: arrangement y is the most stable of them.